# 1
A relaxed structure of GaSbAu2. Source: the Alexandria database, functional GGA-PBE.

Properties
Raw formation energy, eV per formula unit: 0.16
Offset from the most stable computed form, eV/atom: 0.154

CIF file:
```
data_GaSbAu2
_chemical_formula_sum 'Ga1 Sb1 Au2'
_cell_length_a 3.174
_cell_length_b 3.174
_cell_length_c 7.995
_cell_angle_alpha 90.00
_cell_angle_beta 90.00
_cell_angle_gamma 90.00
_space_group_name_H-M_alt 'P 4/m m m'
_space_group_IT_number 123
_space_group_name_Hall '-P 4 2'
loop_
_atom_site_label
_atom_site_fract_x
_atom_site_fract_y
_atom_site_fract_z
Ga1 0.000 0.000 0.000
Sb1 0.000 0.000 0.500
Au1 0.500 0.500 0.215
```

---

# 2
A relaxed structure of Ga3SbAu. Source: the Alexandria database, functional GGA-PBE.

Properties
Raw formation energy, eV per formula unit: 0.73
Offset from the most stable computed form, eV/atom: 0.000

CIF file:
```
data_Ga3SbAu
_chemical_formula_sum 'Ga3 Sb1 Au1'
_cell_length_a 5.007
_cell_length_b 5.007
_cell_length_c 5.007
_cell_angle_alpha 90.00
_cell_angle_beta 90.00
_cell_angle_gamma 90.00
_space_group_name_H-M_alt 'P m -3 m'
_space_group_IT_number 221
_space_group_name_Hall '-P 4 2 3'
loop_
_atom_site_label
_atom_site_fract_x
_atom_site_fract_y
_atom_site_fract_z
Ga1 0.000 0.000 0.500
Sb1 0.500 0.500 0.500
Au1 0.000 0.000 0.000
```

---

# 3
A relaxed structure of GaSbAu2. Source: the Alexandria database, functional GGA-PBE.

Properties
Raw formation energy, eV per formula unit: 0.20
Offset from the most stable computed form, eV/atom: 0.162

CIF file:
```
data_GaSbAu2
_chemical_formula_sum 'Ga4 Sb4 Au8'
_cell_length_a 6.927
_cell_length_b 6.927
_cell_length_c 6.927
_cell_angle_alpha 90.00
_cell_angle_beta 90.00
_cell_angle_gamma 90.00
_space_group_name_H-M_alt 'F m -3 m'
_space_group_IT_number 225
_space_group_name_Hall '-F 4 2 3'
loop_
_atom_site_label
_atom_site_fract_x
_atom_site_fract_y
_atom_site_fract_z
Ga1 0.000 0.000 0.000
Sb1 0.000 0.000 0.500
Au1 0.250 0.250 0.250
```

---

Q: Among the records above, which one has the lowest offset from the most stable computed form?
A: Ga3SbAu